# 1
Na2TmSiS4: relaxed, PBE.

POSCAR file:
```
Na2TmSiS4
1.0
-6.542 -1.597 -0.142
1.760 -5.129 3.997
1.674 5.971 1.737
S Tm Si Na
4 1 1 2
Direct
0.601 0.842 0.420 S
0.348 0.050 0.977 S
0.950 0.652 0.023 S
0.158 0.399 0.580 S
0.014 0.986 0.500 Tm
0.264 0.736 0.000 Si
0.764 0.236 0.000 Na
0.514 0.486 0.500 Na
```

## Properties
**Total DFT energy (no corrections)**: -4.7003 eV per atom

***

# 2
NaZrSiS3: relaxed, PBE.

POSCAR file:
```
NaZrSiS3
1.0
2.015 -6.283 0.000
2.015 6.283 0.000
0.000 0.000 9.959
S Si Na Zr
6 2 2 2
Direct
0.135 0.865 0.076 S
0.865 0.135 0.924 S
0.135 0.865 0.424 S
0.444 0.556 0.250 S
0.556 0.444 0.750 S
0.865 0.135 0.576 S
0.026 0.974 0.250 Si
0.974 0.026 0.750 Si
0.754 0.246 0.250 Na
0.246 0.754 0.750 Na
0.500 0.500 0.500 Zr
0.500 0.500 0.000 Zr
```

## Properties
**Total DFT energy (no corrections)**: -5.3493 eV per atom

***

# 3
NaSmSnS3: relaxed, PBE.

POSCAR file:
```
NaSmSnS3
1.0
2.025 -7.736 0.000
2.025 7.736 0.000
0.000 0.000 11.058
Na S Sn Sm
2 6 2 2
Direct
0.368 0.632 0.250 Na
0.632 0.368 0.750 Na
0.623 0.377 0.505 S
0.972 0.028 0.750 S
0.623 0.377 0.995 S
0.377 0.623 0.495 S
0.377 0.623 0.005 S
0.028 0.972 0.250 S
0.643 0.357 0.250 Sn
0.357 0.643 0.750 Sn
0.000 0.000 0.500 Sm
0.000 0.000 0.000 Sm
```

## Properties
**Total DFT energy (no corrections)**: -4.9163 eV per atom

***

# 4
NaSmTmS3: relaxed, PBE.

POSCAR file:
```
NaSmTmS3
1.0
3.594 3.215 5.240
-6.380 -2.323 -2.148
2.031 -9.913 4.688
S Tm Na Sm
6 2 2 2
Direct
0.924 0.076 0.750 S
0.076 0.924 0.250 S
0.367 0.633 0.061 S
0.633 0.367 0.561 S
0.633 0.367 0.939 S
0.367 0.633 0.439 S
0.531 0.469 0.750 Tm
0.469 0.531 0.250 Tm
0.737 0.263 0.250 Na
0.263 0.737 0.750 Na
0.000 0.000 0.000 Sm
0.000 0.000 0.500 Sm
```

## Properties
**Total DFT energy (no corrections)**: -5.3432 eV per atom

***

# 5
NaSmZnS3: relaxed, PBE.

POSCAR file:
```
NaSmZnS3
1.0
1.984 -6.475 0.000
1.984 6.475 0.000
0.000 0.000 10.802
Sm S Na Zn
2 6 2 2
Direct
0.000 0.000 0.500 Sm
0.000 0.000 0.000 Sm
0.637 0.363 0.424 S
0.363 0.637 0.576 S
0.077 0.923 0.750 S
0.363 0.637 0.924 S
0.923 0.077 0.250 S
0.637 0.363 0.076 S
0.248 0.752 0.250 Na
0.752 0.248 0.750 Na
0.533 0.467 0.250 Zn
0.467 0.533 0.750 Zn
```

## Properties
**Energy above the lowest structure with this stoichiometry**: 0.0119 eV/atom
**Total DFT energy (no corrections)**: -4.6806 eV per atom

***

# 6
NaSmZnS3: relaxed, PBE.

POSCAR file:
```
NaSmZnS3
1.0
13.346 0.000 0.000
0.000 3.968 0.000
0.000 0.000 10.937
S Na Zn Sm
12 4 4 4
Direct
0.590 0.250 0.106 S
0.892 0.250 0.929 S
0.910 0.750 0.606 S
0.639 0.250 0.762 S
0.361 0.750 0.238 S
0.410 0.750 0.894 S
0.392 0.250 0.571 S
0.608 0.750 0.429 S
0.090 0.250 0.394 S
0.861 0.750 0.262 S
0.139 0.250 0.738 S
0.108 0.750 0.071 S
0.762 0.250 0.425 Na
0.262 0.250 0.075 Na
0.738 0.750 0.925 Na
0.238 0.750 0.575 Na
0.488 0.750 0.095 Zn
0.012 0.250 0.595 Zn
0.988 0.750 0.405 Zn
0.512 0.250 0.905 Zn
0.521 0.750 0.657 Sm
0.021 0.750 0.843 Sm
0.979 0.250 0.157 Sm
0.479 0.250 0.343 Sm
```

## Properties
**Energy above the lowest structure with this stoichiometry**: 0.0249 eV/atom
**Total DFT energy (no corrections)**: -4.6676 eV per atom

***

# 7
NaSmZnS3: relaxed, PBE.

POSCAR file:
```
NaSmZnS3
1.0
-6.172 5.613 -6.865
-3.241 -1.065 2.043
1.248 10.473 7.442
Na Sm S Zn
4 4 12 4
Direct
0.292 0.750 0.000 Na
0.208 0.250 0.500 Na
0.792 0.750 0.500 Na
0.708 0.250 0.000 Na
0.013 0.750 0.234 Sm
0.987 0.250 0.766 Sm
0.513 0.750 0.266 Sm
0.487 0.250 0.734 Sm
0.758 0.750 0.174 S
0.100 0.250 0.103 S
0.948 0.250 0.377 S
0.242 0.250 0.826 S
0.900 0.750 0.897 S
0.742 0.250 0.674 S
0.552 0.750 0.877 S
0.052 0.750 0.623 S
0.448 0.250 0.123 S
0.400 0.750 0.603 S
0.600 0.250 0.397 S
0.258 0.750 0.326 S
0.235 0.750 0.716 Zn
0.765 0.250 0.284 Zn
0.265 0.250 0.216 Zn
0.735 0.750 0.784 Zn
```

## Properties
**Energy above the lowest structure with this stoichiometry**: 0.0100 eV/atom
**Total DFT energy (no corrections)**: -4.6825 eV per atom

***

# 8
NaSmZnS3: relaxed, PBE.

POSCAR file:
```
NaSmZnS3
1.0
-4.525 -1.971 6.301
-0.273 -3.759 -1.372
13.049 -3.919 8.145
Na Zn S Sm
4 4 12 4
Direct
0.071 0.750 0.226 Na
0.929 0.250 0.774 Na
0.429 0.250 0.726 Na
0.571 0.750 0.274 Na
0.133 0.750 0.642 Zn
0.633 0.750 0.858 Zn
0.867 0.250 0.358 Zn
0.367 0.250 0.142 Zn
0.811 0.250 0.218 S
0.501 0.750 0.089 S
0.373 0.750 0.558 S
0.499 0.250 0.911 S
0.311 0.250 0.282 S
0.627 0.250 0.442 S
0.127 0.250 0.058 S
0.001 0.750 0.411 S
0.689 0.750 0.718 S
0.873 0.750 0.942 S
0.189 0.750 0.782 S
0.999 0.250 0.589 S
0.238 0.750 0.951 Sm
0.262 0.250 0.451 Sm
0.762 0.250 0.049 Sm
0.738 0.750 0.549 Sm
```

## Properties
**Energy above the lowest structure with this stoichiometry**: 0.0527 eV/atom
**Total DFT energy (no corrections)**: -4.6398 eV per atom